#i
# ZrCrAu3 (PBE, optimized geometry)
# Crystal system: cubic
# Space group: Pm-3m (221)
data_ZrCrAu3
_cell_length_a 5.216
_cell_length_b 5.216
_cell_length_c 5.216
_cell_angle_alpha 90.00
_cell_angle_beta 90.00
_cell_angle_gamma 90.00
_space_group_name_H-M_alt 'P 1'
_space_group_IT_number 1
_space_group_name_Hall 'P 1'
loop_
_atom_site_label
_atom_site_fract_x
_atom_site_fract_y
_atom_site_fract_z
Au1 0.000 0.500 0.000
Au2 0.000 0.000 0.500
Au3 0.500 0.000 0.000
Zr1 0.000 0.000 0.000
Cr1 0.500 0.500 0.500

---

#ii
# ZrCrAu3 (PBE, optimized geometry)
# Crystal system: cubic
# Space group: Pm-3m (221)
data_ZrCrAu3
_cell_length_a 4.759
_cell_length_b 4.759
_cell_length_c 4.759
_cell_angle_alpha 90.00
_cell_angle_beta 90.00
_cell_angle_gamma 90.00
_space_group_name_H-M_alt 'P 1'
_space_group_IT_number 1
_space_group_name_Hall 'P 1'
loop_
_atom_site_label
_atom_site_fract_x
_atom_site_fract_y
_atom_site_fract_z
Zr1 0.500 0.500 0.500
Cr1 0.000 0.000 0.000
Au1 0.000 0.000 0.500
Au2 0.000 0.500 0.000
Au3 0.500 0.000 0.000

---

Which structure wins on stability? #ii wins.

---

#i
# Cs5Au (PBE, optimized geometry)
# Crystal system: tetragonal
# Space group: I4/mcm (140)
data_Cs5Au
_cell_length_a 9.215
_cell_length_b 9.215
_cell_length_c 14.029
_cell_angle_alpha 109.17
_cell_angle_beta 109.17
_cell_angle_gamma 90.00
_space_group_name_H-M_alt 'P 1'
_space_group_IT_number 1
_space_group_name_Hall 'P 1'
loop_
_atom_site_label
_atom_site_fract_x
_atom_site_fract_y
_atom_site_fract_z
Cs1 0.360 0.860 0.335
Cs2 0.500 0.500 0.000
Cs3 0.860 0.975 0.335
Cs4 0.525 0.640 0.665
Cs5 0.640 0.140 0.665
Cs6 0.140 0.025 0.665
Cs7 0.000 0.000 0.000
Cs8 0.025 0.525 0.665
Cs9 0.475 0.360 0.335
Cs10 0.975 0.475 0.335
Au1 0.250 0.250 0.500
Au2 0.750 0.750 0.500

---

#ii
# Cs5Au (PBE, optimized geometry)
# Crystal system: orthorhombic
# Space group: Cmmm (65)
data_Cs5Au
_cell_length_a 5.729
_cell_length_b 4.843
_cell_length_c 19.255
_cell_angle_alpha 97.22
_cell_angle_beta 90.00
_cell_angle_gamma 90.00
_space_group_name_H-M_alt 'P 1'
_space_group_IT_number 1
_space_group_name_Hall 'P 1'
loop_
_atom_site_label
_atom_site_fract_x
_atom_site_fract_y
_atom_site_fract_z
Cs1 0.000 0.416 0.832
Cs2 0.500 0.812 0.623
Cs3 0.500 0.500 0.000
Cs4 0.000 0.584 0.168
Cs5 0.500 0.188 0.377
Au1 0.000 0.000 0.000

---

Which structure wins on stability? #i wins.

---

#i
# CsAu3 (PBE, optimized geometry)
# Crystal system: monoclinic
# Space group: C2/m (12)
data_CsAu3
_cell_length_a 4.885
_cell_length_b 7.487
_cell_length_c 4.841
_cell_angle_alpha 116.81
_cell_angle_beta 120.30
_cell_angle_gamma 90.00
_space_group_name_H-M_alt 'P 1'
_space_group_IT_number 1
_space_group_name_Hall 'P 1'
loop_
_atom_site_label
_atom_site_fract_x
_atom_site_fract_y
_atom_site_fract_z
Au1 0.177 0.523 0.354
Au2 0.823 0.477 0.646
Au3 0.500 0.500 0.000
Cs1 0.000 0.000 0.000

---

#ii
# CsAu3 (PBE, optimized geometry)
# Crystal system: tetragonal
# Space group: P4mm (99)
data_CsAu3
_cell_length_a 3.965
_cell_length_b 3.969
_cell_length_c 7.572
_cell_angle_alpha 90.00
_cell_angle_beta 90.00
_cell_angle_gamma 90.00
_space_group_name_H-M_alt 'P 1'
_space_group_IT_number 1
_space_group_name_Hall 'P 1'
loop_
_atom_site_label
_atom_site_fract_x
_atom_site_fract_y
_atom_site_fract_z
Cs1 0.000 0.500 0.306
Au1 0.500 0.500 0.879
Au2 0.500 0.000 0.603
Au3 0.000 0.000 0.879

---

Which structure wins on stability? #i wins.

---

#i
# CsCuAu2 (PBE, optimized geometry)
# Crystal system: trigonal
# Space group: R-3m (166)
data_CsCuAu2
_cell_length_a 4.666
_cell_length_b 4.666
_cell_length_c 6.970
_cell_angle_alpha 70.45
_cell_angle_beta 70.45
_cell_angle_gamma 60.00
_space_group_name_H-M_alt 'P 1'
_space_group_IT_number 1
_space_group_name_Hall 'P 1'
loop_
_atom_site_label
_atom_site_fract_x
_atom_site_fract_y
_atom_site_fract_z
Cs1 0.500 0.500 0.500
Au1 0.678 0.678 0.967
Au2 0.322 0.322 0.033
Cu1 0.000 0.000 0.000

---

#ii
# CsCuAu2 (PBE, optimized geometry)
# Crystal system: cubic
# Space group: Fm-3m (225)
data_CsCuAu2
_cell_length_a 5.346
_cell_length_b 5.346
_cell_length_c 5.346
_cell_angle_alpha 60.00
_cell_angle_beta 60.00
_cell_angle_gamma 60.00
_space_group_name_H-M_alt 'P 1'
_space_group_IT_number 1
_space_group_name_Hall 'P 1'
loop_
_atom_site_label
_atom_site_fract_x
_atom_site_fract_y
_atom_site_fract_z
Au1 0.750 0.750 0.750
Au2 0.250 0.250 0.250
Cu1 0.000 0.000 0.000
Cs1 0.500 0.500 0.500

---

Which structure wins on stability? #i wins.

---

#i
# CsCuAu (PBE, optimized geometry)
# Crystal system: monoclinic
# Space group: C2/m (12)
data_CsCuAu
_cell_length_a 4.407
_cell_length_b 7.008
_cell_length_c 7.333
_cell_angle_alpha 109.59
_cell_angle_beta 72.51
_cell_angle_gamma 71.67
_space_group_name_H-M_alt 'P 1'
_space_group_IT_number 1
_space_group_name_Hall 'P 1'
loop_
_atom_site_label
_atom_site_fract_x
_atom_site_fract_y
_atom_site_fract_z
Cs1 0.813 0.576 0.798
Cs2 0.187 0.424 0.202
Au1 0.100 0.002 0.797
Au2 0.900 0.998 0.203
Cu1 0.699 0.014 0.588
Cu2 0.301 0.986 0.412

---

#ii
# CsCuAu (PBE, optimized geometry)
# Crystal system: hexagonal
# Space group: P-6m2 (187)
data_CsCuAu
_cell_length_a 5.446
_cell_length_b 4.475
_cell_length_c 4.475
_cell_angle_alpha 120.00
_cell_angle_beta 90.00
_cell_angle_gamma 90.00
_space_group_name_H-M_alt 'P 1'
_space_group_IT_number 1
_space_group_name_Hall 'P 1'
loop_
_atom_site_label
_atom_site_fract_x
_atom_site_fract_y
_atom_site_fract_z
Cs1 0.667 0.667 0.333
Cu1 0.167 0.333 0.667
Au1 0.167 0.000 0.000

---

Which structure wins on stability? #i wins.

---

#i
# CsCuAu3 (PBE, optimized geometry)
# Crystal system: cubic
# Space group: Pm-3m (221)
data_CsCuAu3
_cell_length_a 5.098
_cell_length_b 5.098
_cell_length_c 5.098
_cell_angle_alpha 90.00
_cell_angle_beta 90.00
_cell_angle_gamma 90.00
_space_group_name_H-M_alt 'P 1'
_space_group_IT_number 1
_space_group_name_Hall 'P 1'
loop_
_atom_site_label
_atom_site_fract_x
_atom_site_fract_y
_atom_site_fract_z
Au1 0.500 0.000 0.000
Au2 0.000 0.000 0.500
Au3 0.000 0.500 0.000
Cu1 0.000 0.000 0.000
Cs1 0.500 0.500 0.500

---

#ii
# CsCuAu3 (PBE, optimized geometry)
# Crystal system: cubic
# Space group: Pm-3m (221)
data_CsCuAu3
_cell_length_a 6.121
_cell_length_b 6.121
_cell_length_c 6.121
_cell_angle_alpha 90.00
_cell_angle_beta 90.00
_cell_angle_gamma 90.00
_space_group_name_H-M_alt 'P 1'
_space_group_IT_number 1
_space_group_name_Hall 'P 1'
loop_
_atom_site_label
_atom_site_fract_x
_atom_site_fract_y
_atom_site_fract_z
Cs1 0.000 0.000 0.000
Au1 0.000 0.000 0.500
Au2 0.500 0.000 0.000
Au3 0.000 0.500 0.000
Cu1 0.500 0.500 0.500

---

Which structure wins on stability? #i wins.

---

#i
# Cs2CuAu2 (PBE, optimized geometry)
# Crystal system: tetragonal
# Space group: P4/mbm (127)
data_Cs2CuAu2
_cell_length_a 7.524
_cell_length_b 7.524
_cell_length_c 5.647
_cell_angle_alpha 90.00
_cell_angle_beta 90.00
_cell_angle_gamma 90.00
_space_group_name_H-M_alt 'P 1'
_space_group_IT_number 1
_space_group_name_Hall 'P 1'
loop_
_atom_site_label
_atom_site_fract_x
_atom_site_fract_y
_atom_site_fract_z
Cu1 0.000 0.000 0.000
Cu2 0.500 0.500 0.000
Cs1 0.167 0.667 0.500
Cs2 0.833 0.333 0.500
Cs3 0.667 0.833 0.500
Cs4 0.333 0.167 0.500
Au1 0.831 0.669 0.000
Au2 0.169 0.331 0.000
Au3 0.669 0.169 0.000
Au4 0.331 0.831 0.000

---

#ii
# Cs2CuAu2 (PBE, optimized geometry)
# Crystal system: tetragonal
# Space group: I4/mmm (139)
data_Cs2CuAu2
_cell_length_a 6.996
_cell_length_b 6.996
_cell_length_c 6.307
_cell_angle_alpha 56.32
_cell_angle_beta 56.32
_cell_angle_gamma 90.00
_space_group_name_H-M_alt 'P 1'
_space_group_IT_number 1
_space_group_name_Hall 'P 1'
loop_
_atom_site_label
_atom_site_fract_x
_atom_site_fract_y
_atom_site_fract_z
Cu1 0.000 0.000 0.000
Au1 0.324 0.324 0.352
Au2 0.676 0.676 0.648
Cs1 0.250 0.750 0.500
Cs2 0.750 0.250 0.500

---

Which structure wins on stability? #ii wins.

---

#i
# CsCuHg2Au (PBE, optimized geometry)
# Crystal system: tetragonal
# Space group: P4/mmm (123)
data_CsCuHg2Au
_cell_length_a 5.320
_cell_length_b 5.320
_cell_length_c 5.287
_cell_angle_alpha 90.00
_cell_angle_beta 90.00
_cell_angle_gamma 90.00
_space_group_name_H-M_alt 'P 1'
_space_group_IT_number 1
_space_group_name_Hall 'P 1'
loop_
_atom_site_label
_atom_site_fract_x
_atom_site_fract_y
_atom_site_fract_z
Cs1 0.500 0.500 0.500
Hg1 0.000 0.500 0.000
Hg2 0.500 0.000 0.000
Au1 0.000 0.000 0.500
Cu1 0.000 0.000 0.000

---

#ii
# CsCuHg2Au (PBE, optimized geometry)
# Crystal system: tetragonal
# Space group: P4/mmm (123)
data_CsCuHg2Au
_cell_length_a 5.532
_cell_length_b 5.532
_cell_length_c 5.198
_cell_angle_alpha 90.00
_cell_angle_beta 90.00
_cell_angle_gamma 90.00
_space_group_name_H-M_alt 'P 1'
_space_group_IT_number 1
_space_group_name_Hall 'P 1'
loop_
_atom_site_label
_atom_site_fract_x
_atom_site_fract_y
_atom_site_fract_z
Cs1 0.500 0.500 0.500
Cu1 0.000 0.000 0.500
Hg1 0.500 0.000 0.000
Hg2 0.000 0.500 0.000
Au1 0.000 0.000 0.000

---

Which structure wins on stability? #i wins.

---

#i
# CsEuAu2 (PBE, optimized geometry)
# Crystal system: trigonal
# Space group: R-3m (166)
data_CsEuAu2
_cell_length_a 5.176
_cell_length_b 5.176
_cell_length_c 7.116
_cell_angle_alpha 68.67
_cell_angle_beta 68.67
_cell_angle_gamma 60.00
_space_group_name_H-M_alt 'P 1'
_space_group_IT_number 1
_space_group_name_Hall 'P 1'
loop_
_atom_site_label
_atom_site_fract_x
_atom_site_fract_y
_atom_site_fract_z
Au1 0.794 0.794 0.618
Au2 0.206 0.206 0.382
Cs1 0.000 0.000 0.000
Eu1 0.500 0.500 0.500

---

#ii
# CsEuAu2 (PBE, optimized geometry)
# Crystal system: tetragonal
# Space group: P4/mmm (123)
data_CsEuAu2
_cell_length_a 3.992
_cell_length_b 3.992
_cell_length_c 8.303
_cell_angle_alpha 90.00
_cell_angle_beta 90.00
_cell_angle_gamma 90.00
_space_group_name_H-M_alt 'P 1'
_space_group_IT_number 1
_space_group_name_Hall 'P 1'
loop_
_atom_site_label
_atom_site_fract_x
_atom_site_fract_y
_atom_site_fract_z
Au1 0.000 0.000 0.182
Au2 0.000 0.000 0.818
Cs1 0.500 0.500 0.500
Eu1 0.500 0.500 0.000

---

Which structure wins on stability? #ii wins.

---

#i
# Cs6Au2F (PBE, optimized geometry)
# Crystal system: monoclinic
# Space group: P2_1/c (14)
data_Cs6Au2F
_cell_length_a 8.509
_cell_length_b 8.701
_cell_length_c 14.606
_cell_angle_alpha 90.20
_cell_angle_beta 90.00
_cell_angle_gamma 90.00
_space_group_name_H-M_alt 'P 1'
_space_group_IT_number 1
_space_group_name_Hall 'P 1'
loop_
_atom_site_label
_atom_site_fract_x
_atom_site_fract_y
_atom_site_fract_z
Cs1 0.780 0.856 0.649
Cs2 0.220 0.688 0.501
Cs3 0.780 0.312 0.499
Cs4 0.280 0.188 0.001
Cs5 0.289 0.645 0.153
Cs6 0.220 0.144 0.351
Cs7 0.280 0.644 0.851
Cs8 0.789 0.855 0.347
Cs9 0.720 0.356 0.149
Cs10 0.211 0.145 0.653
Cs11 0.720 0.812 0.999
Cs12 0.711 0.355 0.847
Au1 0.504 0.002 0.181
Au2 0.496 0.998 0.819
Au3 0.004 0.498 0.319
Au4 0.996 0.502 0.681
F1 0.500 0.500 0.000
F2 0.000 0.000 0.500

---

#ii
# Cs6Au2F (PBE, optimized geometry)
# Crystal system: monoclinic
# Space group: P2_1/c (14)
data_Cs6Au2F
_cell_length_a 8.458
_cell_length_b 9.633
_cell_length_c 11.954
_cell_angle_alpha 90.00
_cell_angle_beta 91.31
_cell_angle_gamma 90.00
_space_group_name_H-M_alt 'P 1'
_space_group_IT_number 1
_space_group_name_Hall 'P 1'
loop_
_atom_site_label
_atom_site_fract_x
_atom_site_fract_y
_atom_site_fract_z
Cs1 0.800 0.653 0.941
Cs2 0.653 0.195 0.936
Cs3 0.347 0.805 0.064
Cs4 0.700 0.153 0.559
Cs5 0.847 0.695 0.564
Cs6 0.629 0.464 0.237
Cs7 0.871 0.964 0.263
Cs8 0.200 0.347 0.059
Cs9 0.129 0.036 0.737
Cs10 0.153 0.305 0.436
Cs11 0.371 0.536 0.763
Cs12 0.300 0.847 0.441
Au1 0.453 0.114 0.251
Au2 0.047 0.614 0.249
Au3 0.547 0.886 0.749
Au4 0.953 0.386 0.751
F1 0.500 0.500 0.000
F2 0.000 0.000 0.500

---

Which structure wins on stability? #ii wins.

---

#i
# Cs3Au2F (PBE, optimized geometry)
# Crystal system: orthorhombic
# Space group: Cmcm (63)
data_Cs3Au2F
_cell_length_a 7.913
_cell_length_b 7.981
_cell_length_c 7.981
_cell_angle_alpha 101.21
_cell_angle_beta 90.00
_cell_angle_gamma 90.00
_space_group_name_H-M_alt 'P 1'
_space_group_IT_number 1
_space_group_name_Hall 'P 1'
loop_
_atom_site_label
_atom_site_fract_x
_atom_site_fract_y
_atom_site_fract_z
F1 0.750 0.078 0.078
F2 0.250 0.922 0.922
Cs1 0.500 0.836 0.164
Cs2 0.000 0.836 0.164
Cs3 0.500 0.164 0.836
Cs4 0.250 0.645 0.645
Cs5 0.750 0.355 0.355
Cs6 0.000 0.164 0.836
Au1 0.250 0.194 0.434
Au2 0.750 0.566 0.806
Au3 0.750 0.806 0.566
Au4 0.250 0.434 0.194

---

#ii
# Cs3Au2F (PBE, optimized geometry)
# Crystal system: orthorhombic
# Space group: Cmcm (63)
data_Cs3Au2F
_cell_length_a 4.681
_cell_length_b 8.490
_cell_length_c 13.076
_cell_angle_alpha 90.00
_cell_angle_beta 100.31
_cell_angle_gamma 90.00
_space_group_name_H-M_alt 'P 1'
_space_group_IT_number 1
_space_group_name_Hall 'P 1'
loop_
_atom_site_label
_atom_site_fract_x
_atom_site_fract_y
_atom_site_fract_z
Cs1 0.584 0.504 0.168
Cs2 0.416 0.496 0.832
Cs3 0.584 0.996 0.168
Cs4 0.416 0.004 0.832
Cs5 0.218 0.250 0.435
Cs6 0.782 0.750 0.565
Au1 0.997 0.750 0.995
Au2 0.168 0.750 0.335
Au3 0.003 0.250 0.005
Au4 0.832 0.250 0.665
F1 0.345 0.750 0.689
F2 0.655 0.250 0.311

---

Which structure wins on stability? #ii wins.

---

#i
# Cs3AuF (PBE, optimized geometry)
# Crystal system: monoclinic
# Space group: C2/m (12)
data_Cs3AuF
_cell_length_a 10.084
_cell_length_b 10.084
_cell_length_c 5.138
_cell_angle_alpha 88.73
_cell_angle_beta 88.73
_cell_angle_gamma 72.32
_space_group_name_H-M_alt 'P 1'
_space_group_IT_number 1
_space_group_name_Hall 'P 1'
loop_
_atom_site_label
_atom_site_fract_x
_atom_site_fract_y
_atom_site_fract_z
Au1 0.762 0.762 0.730
Au2 0.238 0.238 0.270
Cs1 0.937 0.314 0.789
Cs2 0.605 0.605 0.225
Cs3 0.686 0.063 0.211
Cs4 0.395 0.395 0.775
Cs5 0.063 0.686 0.211
Cs6 0.314 0.937 0.789
F1 0.334 0.666 0.000
F2 0.666 0.334 0.000

---

#ii
# Cs3AuF (PBE, optimized geometry)
# Crystal system: orthorhombic
# Space group: Ama2 (40)
data_Cs3AuF
_cell_length_a 5.723
_cell_length_b 8.081
_cell_length_c 12.051
_cell_angle_alpha 109.59
_cell_angle_beta 90.00
_cell_angle_gamma 90.00
_space_group_name_H-M_alt 'P 1'
_space_group_IT_number 1
_space_group_name_Hall 'P 1'
loop_
_atom_site_label
_atom_site_fract_x
_atom_site_fract_y
_atom_site_fract_z
Cs1 0.750 0.612 0.117
Cs2 0.250 0.686 0.398
Cs3 0.750 0.885 0.798
Cs4 0.250 0.087 0.202
Cs5 0.750 0.288 0.602
Cs6 0.250 0.495 0.883
Au1 0.750 0.388 0.333
Au2 0.250 0.055 0.667
F1 0.250 0.706 0.150
F2 0.750 0.556 0.850

---

Which structure wins on stability? #ii wins.